1.
The following is a PBE calculation of a geometry-optimized SmCl structure, from the Alexandria database.

abc: 5.708 5.708 5.708
angles: 90.00 90.00 90.00
Space group Fm-3m (No. 225)
Asymmetric unit:
1 Sm 0.000 0.000 0.000 (multiplicity 4)
2 Cl 0.000 0.000 0.500 (multiplicity 4)

Calculated values
formation energy from raw total energies: -1.16 eV per atom
N(E_F): 0.70 states/eV/atom



2.
The following is a PBE calculation of a geometry-optimized Tm4SnPt structure, from the Alexandria database.

abc: 7.372 6.947 6.936
angles: 90.00 91.10 90.00
Space group P2_1/c (No. 14)
Asymmetric unit:
1 Tm 0.141 0.163 0.172 (multiplicity 4)
2 Tm 0.318 0.646 0.137 (multiplicity 4)
3 Sn 0.500 0.000 0.000 (multiplicity 2)
4 Pt 0.000 0.000 0.500 (multiplicity 2)

Calculated values
energy of formation: -567 meV/atom
N(E_F): 0.72 states/eV/atom



Copy entry 2 word for word.
The following is a PBE calculation of a geometry-optimized Tm4SnPt structure, from the Alexandria database.

abc: 7.372 6.947 6.936
angles: 90.00 91.10 90.00
Space group P2_1/c (No. 14)
Asymmetric unit:
1 Tm 0.141 0.163 0.172 (multiplicity 4)
2 Tm 0.318 0.646 0.137 (multiplicity 4)
3 Sn 0.500 0.000 0.000 (multiplicity 2)
4 Pt 0.000 0.000 0.500 (multiplicity 2)

Calculated values
energy of formation: -567 meV/atom
N(E_F): 0.72 states/eV/atom